Entry 1:
The following is a PBE calculation of a relaxed Tb5Sn3 crystal, from Alexandria via LeMat-Bulk.

a = 9.0107 Å, b = 9.0107 Å, c = 6.5983 Å
α = 90.00°, β = 90.00°, γ = 120.00°
Space group P6_3/mcm (No. 193)
Asymmetric unit:
Tb: 0.0000 0.2383 0.2500
Tb: 0.3333 0.6667 0.0000
Sn: 0.0000 0.3952 0.7500

Values from the calculation:
- total magnetic moment (μB/f.u.) = 0.00
- energy of formation (eV per atom) = -0.726
- calculated volume (Å³ per atom) = 29.0
- crystal system = hexagonal


Entry 2:
The following is a PBE calculation of a relaxed PmAl4Cd crystal, from Alexandria via LeMat-Bulk.

a = 7.916 Å, b = 7.916 Å, c = 7.916 Å
α = 90.00°, β = 90.00°, γ = 90.00°
Space group F-43m (No. 216)
Asymmetric unit:
Pm: 0.000 0.000 0.000
Al: 0.126 0.126 0.374
Cd: 0.250 0.250 0.750

Values from the calculation:
- total magnetic moment (μB/f.u.) = 0.00
- energy of formation (eV per atom) = -0.157
- calculated volume (Å³ per atom) = 20.7
- crystal system = cubic


Entry 3:
The following is a PBE calculation of a relaxed PmTh2Rh2 crystal, from Alexandria via LeMat-Bulk.

a = 7.957 Å, b = 7.957 Å, c = 3.880 Å
α = 90.00°, β = 90.00°, γ = 90.00°
Space group P4/mbm (No. 127)
Asymmetric unit:
Pm: 0.000 0.000 0.000
Th: 0.166 0.334 0.500
Rh: 0.133 0.633 0.000

Values from the calculation:
- total magnetic moment (μB/f.u.) = 0.00
- energy of formation (eV per atom) = -0.704
- calculated volume (Å³ per atom) = 24.6
- crystal system = tetragonal


Entry 4:
The following is a PBE calculation of a relaxed Pr6Ir2RhBr3 crystal, from Alexandria via LeMat-Bulk.

a = 7.243 Å, b = 12.546 Å, c = 8.230 Å
α = 90.00°, β = 107.06°, γ = 90.00°
Space group C2/m (No. 12)
Asymmetric unit:
Pr: 0.231 0.000 0.195
Pr: 0.232 0.333 0.195
Ir: 0.000 0.167 0.000
Rh: 0.000 0.500 0.000
Br: 0.000 0.000 0.500
Br: 0.000 0.333 0.500

Values from the calculation:
- total magnetic moment (μB/f.u.) = 0.00
- uncorrected formation energy (meV per atom) = -1082.4
- calculated volume (Å³ per atom) = 29.8
- crystal system = monoclinic


Entry 5:
The following is a PBE calculation of a relaxed Zn3Au crystal, from Alexandria via LeMat-Bulk.

a = 2.9120 Å, b = 2.9120 Å, c = 8.6417 Å
α = 90.00°, β = 90.00°, γ = 120.00°
Space group P-6m2 (No. 187)
Asymmetric unit:
Zn: 0.0000 0.0000 0.0000
Zn: 0.3333 0.6667 0.2430
Au: 0.0000 0.0000 0.5000

Values from the calculation:
- total magnetic moment (μB/f.u.) = 0.00
- energy of formation (eV per atom) = -0.073
- calculated volume (Å³ per atom) = 15.9
- crystal system = hexagonal


Entry 6:
The following is a PBE calculation of a relaxed MnP2Rh2 crystal, from Alexandria via LeMat-Bulk.

a = 5.772 Å, b = 5.772 Å, c = 4.034 Å
α = 90.00°, β = 90.00°, γ = 90.00°
Space group P4/mbm (No. 127)
Asymmetric unit:
Mn: 0.000 0.000 0.000
P: 0.132 0.368 0.000
Rh: 0.238 0.738 0.500

Values from the calculation:
- total magnetic moment (μB/f.u.) = 0.01
- energy of formation (eV per atom) = -0.279
- calculated volume (Å³ per atom) = 13.4
- crystal system = tetragonal


Entry 7:
The following is a PBE calculation of a relaxed Cs2Th3Te8 crystal, from Alexandria via LeMat-Bulk.

a = 19.964 Å, b = 8.938 Å, c = 8.171 Å
α = 90.00°, β = 110.55°, γ = 90.00°
Space group C2/m (No. 12)
Asymmetric unit:
Cs: 0.229 0.000 0.202
Th: 0.000 0.247 0.500
Th: 0.000 0.500 0.000
Te: 0.093 0.500 0.399
Te: 0.096 0.000 0.445
Te: 0.107 0.304 0.889

Values from the calculation:
- total magnetic moment (μB/f.u.) = 1.84
- uncorrected formation energy (meV per atom) = -1011.5
- calculated volume (Å³ per atom) = 52.5
- crystal system = monoclinic


Entry 8:
The following is a PBE calculation of a relaxed KNa14In crystal, from Alexandria via LeMat-Bulk.

a = 12.125 Å, b = 7.874 Å, c = 12.309 Å
α = 90.00°, β = 90.00°, γ = 90.00°
Space group Amm2 (No. 38)
Asymmetric unit:
K: 0.000 0.000 0.000
Na: 0.000 0.234 0.744
Na: 0.233 0.000 0.307
Na: 0.247 0.226 0.556
Na: 0.268 0.000 0.811
Na: 0.500 0.000 0.095
Na: 0.500 0.000 0.609
Na: 0.500 0.231 0.354
In: 0.000 0.000 0.488

Values from the calculation:
- total magnetic moment (μB/f.u.) = 0.00
- energy of formation (eV per atom) = 0.010
- calculated volume (Å³ per atom) = 36.7
- crystal system = orthorhombic


Entry 9:
The following is a PBE calculation of a relaxed TbCe3S4 crystal, from Alexandria via LeMat-Bulk.

a = 5.639 Å, b = 5.639 Å, c = 5.639 Å
α = 90.00°, β = 90.00°, γ = 90.00°
Space group Pm-3m (No. 221)
Asymmetric unit:
Tb: 0.000 0.000 0.000
Ce: 0.000 0.500 0.500
S: 0.000 0.000 0.500
S: 0.500 0.500 0.500

Values from the calculation:
- total magnetic moment (μB/f.u.) = 0.04
- uncorrected formation energy (meV per atom) = -2043.0
- calculated volume (Å³ per atom) = 22.4
- crystal system = cubic


Entry 10:
The following is a PBE calculation of a relaxed Sr2CeNdSe4 crystal, from Alexandria via LeMat-Bulk.

a = 7.434 Å, b = 4.294 Å, c = 7.606 Å
α = 90.00°, β = 109.02°, γ = 90.00°
Space group P2/m (No. 10)
Asymmetric unit:
Sr: 0.000 0.000 0.000
Sr: 0.500 0.500 0.000
Ce: 0.000 0.500 0.500
Nd: 0.500 0.000 0.500
Se: 0.247 0.000 0.742
Se: 0.252 0.500 0.259

Values from the calculation:
- total magnetic moment (μB/f.u.) = 1.47
- uncorrected formation energy (meV per atom) = -1897.6
- calculated volume (Å³ per atom) = 28.7
- crystal system = monoclinic


Entry 11:
The following is a PBE calculation of a relaxed LaThAlAg crystal, from Alexandria via LeMat-Bulk.

a = 7.561 Å, b = 7.561 Å, c = 7.561 Å
α = 90.00°, β = 90.00°, γ = 90.00°
Space group F-43m (No. 216)
Asymmetric unit:
La: 0.000 0.000 0.000
Th: 0.000 0.000 0.500
Al: 0.250 0.250 0.750
Ag: 0.250 0.250 0.250

Values from the calculation:
- total magnetic moment (μB/f.u.) = 0.00
- energy of formation (eV per atom) = -0.172
- calculated volume (Å³ per atom) = 27.0
- crystal system = cubic


Entry 12:
The following is a PBE calculation of a relaxed LaDyGa2Au5 crystal, from Alexandria via LeMat-Bulk.

a = 4.784 Å, b = 4.784 Å, c = 8.499 Å
α = 90.00°, β = 90.00°, γ = 90.00°
Space group P4/mmm (No. 123)
Asymmetric unit:
La: 0.000 0.000 0.000
Dy: 0.000 0.000 0.500
Ga: 0.500 0.500 0.354
Au: 0.000 0.500 0.246
Au: 0.500 0.500 0.000

Values from the calculation:
- total magnetic moment (μB/f.u.) = 0.00
- energy of formation (eV per atom) = -0.523
- calculated volume (Å³ per atom) = 21.6
- crystal system = tetragonal


Number 1: Fermi-level density of states 10.62 states/eV per cell. Number 2: Fermi-level density of states 17.38 states/eV per cell. Number 3: Fermi-level density of states 8.13 states/eV per cell. Number 4: Fermi-level density of states 7.46 states/eV per cell. Number 5: Fermi-level density of states 0.72 states/eV per cell. Number 6: Fermi-level density of states 12.58 states/eV per cell. Number 7: Fermi-level density of states 8.38 states/eV per cell. Number 8: Fermi-level density of states 15.32 states/eV per cell. Number 9: Fermi-level density of states 9.81 states/eV per cell. Number 10: Fermi-level density of states 8.51 states/eV per cell. Number 11: Fermi-level density of states 20.40 states/eV per cell. Number 12: Fermi-level density of states 4.17 states/eV per cell.